# PBE Zr3Ti4Bi4, relaxed
data_Zr3Ti4Bi4
_chemical_formula_sum 'Zr6 Ti8 Bi8'
_cell_length_a 3.823
_cell_length_b 8.709
_cell_length_c 14.915
_cell_angle_alpha 90.00
_cell_angle_beta 90.00
_cell_angle_gamma 90.00
_space_group_name_H-M_alt 'I m m m'
_space_group_IT_number 71
_space_group_name_Hall '-I 2 2'
loop_
_atom_site_label
_atom_site_type_symbol
_atom_site_fract_x
_atom_site_fract_y
_atom_site_fract_z
Zr1 Zr 0.000 0.000 0.000
Zr2 Zr 0.000 0.500 0.121
Ti1 Ti 0.000 0.278 0.320
Bi1 Bi 0.000 0.000 0.214
Bi2 Bi 0.000 0.203 0.500
# - energy (eV/cell) = -148.67
# - calculated volume (A^3/atom) = 22.57
# - formation enthalpy at 0 K (eV/atom) = -0.14